BaYMn | meta-GGA SCAN | PBEsol geometry

```
data_BaYMn
_cell_length_a 7.286
_cell_length_b 7.286
_cell_length_c 7.286
_cell_angle_alpha 90.00
_cell_angle_beta 90.00
_cell_angle_gamma 90.00
_space_group_name_H-M_alt 'F -4 3 m'
_space_group_IT_number 216
_space_group_name_Hall 'F -4 2 3'
loop_
_atom_site_label
_atom_site_type_symbol
_atom_site_fract_x
_atom_site_fract_y
_atom_site_fract_z
Ba1 Ba 0.000 0.000 0.000
Y1 Y 0.000 0.000 0.500
Mn1 Mn 0.250 0.250 0.250
```

- Total DFT energy (no corrections): -27.99 eV/atom
- D(E_F): 1.24 states/eV per atom
- V: 387 Å³ per cell
- Calculated density: 4.8 g/cm3